Computed, not measured: an optimized crystal structure of NaYNF2 at the PBE level of DFT.

Calculated values
Volume in Å³/cell: 67.0
Fermi-level density of states in states/eV/f.u.: 0.0
Crystal system: tetragonal
Formation energy (no corrections) in kJ per mole of atoms: -153
Polymorph energy (0 for the lowest one) in meV per atom: 472
SG: P4/mmm, No. 123
Final energy in eV per formula unit: -27.8

a b c (Å): 3.877 3.877 4.454
angles (deg): 90.00 90.00 90.00
Element x y z (fractional)
Na 0.000 0.000 0.000
Y 0.500 0.500 0.500
N 0.000 0.000 0.500
F 0.000 0.500 0.000
F 0.500 0.000 0.000

Computed, not measured: an optimized crystal structure of NaYNF2 at the PBE level of DFT.

Calculated values
Volume in Å³/cell: 88.4
Fermi-level density of states in states/eV/f.u.: 2.5
Crystal system: tetragonal
Formation energy (no corrections) in kJ per mole of atoms: -198
Polymorph energy (0 for the lowest one) in meV per atom: 0
SG: P4/mmm, No. 123
Final energy in eV per formula unit: -30.1

a b c (Å): 4.441 4.441 4.481
angles (deg): 90.00 90.00 90.00
Element x y z (fractional)
Na 0.000 0.000 0.000
Y 0.500 0.500 0.500
N 0.500 0.500 0.000
F 0.000 0.500 0.500
F 0.500 0.000 0.500

Computed, not measured: an optimized crystal structure of NaZnNF2 at the PBE level of DFT.

Calculated values
Volume in Å³/cell: 72.9
Fermi-level density of states in states/eV/f.u.: 1.3
Crystal system: tetragonal
Formation energy (no corrections) in kJ per mole of atoms: -16
Polymorph energy (0 for the lowest one) in meV per atom: 837
SG: P4/mmm, No. 123
Final energy in eV per formula unit: -15.5

a b c (Å): 4.063 4.063 4.417
angles (deg): 90.00 90.00 90.00
Element x y z (fractional)
Na 0.000 0.000 0.000
Zn 0.500 0.500 0.500
N 0.000 0.000 0.500
F 0.000 0.500 0.000
F 0.500 0.000 0.000

Computed, not measured: an optimized crystal structure of NaZnNF2 at the PBE level of DFT.

Calculated values
Volume in Å³/cell: 71.1
Fermi-level density of states in states/eV/f.u.: 0.8
Crystal system: tetragonal
Formation energy (no corrections) in kJ per mole of atoms: -97
Polymorph energy (0 for the lowest one) in meV per atom: 0
SG: P4/mmm, No. 123
Final energy in eV per formula unit: -19.7

a b c (Å): 4.278 4.278 3.883
angles (deg): 90.00 90.00 90.00
Element x y z (fractional)
Na 0.000 0.000 0.000
Zn 0.500 0.500 0.500
N 0.500 0.500 0.000
F 0.000 0.500 0.500
F 0.500 0.000 0.500

Computed, not measured: an optimized crystal structure of NaZnN2F at the PBE level of DFT.

Calculated values
Volume in Å³/cell: 69.1
Fermi-level density of states in states/eV/f.u.: 2.0
Crystal system: tetragonal
Formation energy (no corrections) in kJ per mole of atoms: 33
Polymorph energy (0 for the lowest one) in meV per atom: 0
SG: P4/mmm, No. 123
Final energy in eV per formula unit: -19.4

a b c (Å): 3.938 3.938 4.455
angles (deg): 90.00 90.00 90.00
Element x y z (fractional)
Na 0.000 0.000 0.000
Zn 0.500 0.500 0.500
N 0.000 0.500 0.500
N 0.500 0.000 0.500
F 0.500 0.500 0.000

Computed, not measured: an optimized crystal structure of NaZnNF2 at the PBE level of DFT.

Calculated values
Volume in Å³/cell: 76.6
Fermi-level density of states in states/eV/f.u.: 1.4
Crystal system: tetragonal
Formation energy (no corrections) in kJ per mole of atoms: -56
Polymorph energy (0 for the lowest one) in meV per atom: 428
SG: P4/mmm, No. 123
Final energy in eV per formula unit: -17.5

a b c (Å): 4.679 4.679 3.498
angles (deg): 90.00 90.00 90.00
Element x y z (fractional)
Na 0.000 0.000 0.000
Zn 0.500 0.500 0.000
N 0.500 0.500 0.500
F 0.000 0.500 0.500
F 0.500 0.000 0.500

Computed, not measured: an optimized crystal structure of NaZnN2F at the PBE level of DFT.

Calculated values
Volume in Å³/cell: 78.6
Fermi-level density of states in states/eV/f.u.: 2.3
Crystal system: tetragonal
Formation energy (no corrections) in kJ per mole of atoms: 120
Polymorph energy (0 for the lowest one) in meV per atom: 901
SG: P4/mmm, No. 123
Final energy in eV per formula unit: -14.9

a b c (Å): 4.445 4.445 3.979
angles (deg): 90.00 90.00 90.00
Element x y z (fractional)
Na 0.000 0.000 0.000
Zn 0.500 0.500 0.500
N 0.000 0.500 0.000
N 0.500 0.000 0.000
F 0.000 0.000 0.500

Computed, not measured: an optimized crystal structure of NaZrNF2 at the PBE level of DFT.

Calculated values
Volume in Å³/cell: 61.5
Fermi-level density of states in states/eV/f.u.: 0.7
Crystal system: tetragonal
Formation energy (no corrections) in kJ per mole of atoms: -107
Polymorph energy (0 for the lowest one) in meV per atom: 1011
SG: P4/mmm, No. 123
Final energy in eV per formula unit: -27.5

a b c (Å): 3.675 3.675 4.557
angles (deg): 90.00 90.00 90.00
Element x y z (fractional)
Na 0.000 0.000 0.000
Zr 0.500 0.500 0.500
N 0.000 0.000 0.500
F 0.000 0.500 0.000
F 0.500 0.000 0.000

Computed, not measured: an optimized crystal structure of NaZrNF2 at the PBE level of DFT.

Calculated values
Volume in Å³/cell: 77.7
Fermi-level density of states in states/eV/f.u.: 0.3
Crystal system: tetragonal
Formation energy (no corrections) in kJ per mole of atoms: -204
Polymorph energy (0 for the lowest one) in meV per atom: 0
SG: P4/mmm, No. 123
Final energy in eV per formula unit: -32.5

a b c (Å): 4.306 4.306 4.191
angles (deg): 90.00 90.00 90.00
Element x y z (fractional)
Na 0.000 0.000 0.000
Zr 0.500 0.500 0.500
N 0.500 0.500 0.000
F 0.000 0.500 0.500
F 0.500 0.000 0.500

Computed, not measured: an optimized crystal structure of NbNF at the PBE level of DFT.

Calculated values
Volume in Å³/cell: 45.2
Fermi-level density of states in states/eV/f.u.: 2.0
Crystal system: trigonal
Formation energy (no corrections) in kJ per mole of atoms: -134
SG: P3m1, No. 156
Final energy in eV per formula unit: -24.4

a b c (Å): 3.248 3.248 4.944
angles (deg): 90.00 90.00 120.00
Element x y z (fractional)
Nb 0.000 0.000 0.000
N 0.667 0.333 0.851
F 0.333 0.667 0.275

Computed, not measured: an optimized crystal structure of NbNF3 at the PBE level of DFT.

Calculated values
Volume in Å³/cell: 71.0
Fermi-level density of states in states/eV/f.u.: 5.7
Crystal system: cubic
Formation energy (no corrections) in kJ per mole of atoms: -97
SG: Pm-3m, No. 221
Final energy in eV per formula unit: -29.1

a b c (Å): 4.140 4.140 4.140
angles (deg): 90.00 90.00 90.00
Element x y z (fractional)
Nb 0.000 0.000 0.000
N 0.500 0.500 0.500
F 0.000 0.000 0.500
F 0.000 0.500 0.000
F 0.500 0.000 0.000

Computed, not measured: an optimized crystal structure of NbNF at the PBE level of DFT.

Calculated values
Volume in Å³/cell: 78.4
Fermi-level density of states in states/eV/f.u.: 1.5
Crystal system: orthorhombic
Formation energy (no corrections) in kJ per mole of atoms: -150
SG: I2_12_12_1, No. 24
Final energy in eV per formula unit: -24.9

a b c (Å): 5.983 5.983 5.983
angles (deg): 152.12 127.97 60.06
Element x y z (fractional)
Nb 0.077 0.327 0.750
Nb 0.423 0.173 0.250
N 0.250 0.727 0.477
N 0.750 0.773 0.023
F 0.055 0.750 0.805
F 0.445 0.250 0.695

Computed, not measured: an optimized crystal structure of NbN3F12 at the PBE level of DFT.

Calculated values
Volume in Å³/cell: 266.4
Fermi-level density of states in states/eV/f.u.: 5.5
Crystal system: monoclinic
Formation energy (no corrections) in kJ per mole of atoms: -51
SG: C2/m, No. 12
Final energy in eV per formula unit: -66.0

a b c (Å): 7.492 7.492 6.279
angles (deg): 96.49 96.49 128.47
Element x y z (fractional)
Nb 0.000 0.000 0.000
N 0.000 0.000 0.500
N 0.000 0.500 0.000
N 0.500 0.000 0.000
F 0.066 0.894 0.703
F 0.106 0.934 0.297
F 0.108 0.571 0.793
F 0.156 0.338 0.051
F 0.338 0.156 0.051
F 0.429 0.892 0.207
F 0.571 0.108 0.793
F 0.662 0.844 0.949
F 0.844 0.662 0.949
F 0.892 0.429 0.207
F 0.894 0.066 0.703
F 0.934 0.106 0.297

Computed, not measured: an optimized crystal structure of NbN2F5 at the PBE level of DFT.

Calculated values
Volume in Å³/cell: 152.9
Fermi-level density of states in states/eV/f.u.: 0.0
Crystal system: monoclinic
Formation energy (no corrections) in kJ per mole of atoms: -214
SG: Cm, No. 8
Final energy in eV per formula unit: -53.8

a b c (Å): 6.326 6.326 4.369
angles (deg): 109.83 109.83 91.10
Element x y z (fractional)
Nb 0.000 0.000 0.000
N 0.426 0.426 0.807
N 0.570 0.570 0.960
F 0.000 0.000 0.436
F 0.023 0.313 0.067
F 0.313 0.023 0.067
F 0.687 0.977 0.739
F 0.977 0.687 0.739

Computed, not measured: an optimized crystal structure of NbNF at the PBE level of DFT.

Calculated values
Volume in Å³/cell: 40.3
Fermi-level density of states in states/eV/f.u.: 1.9
Crystal system: tetragonal
Formation energy (no corrections) in kJ per mole of atoms: -109
SG: I4mm, No. 107
Final energy in eV per formula unit: -23.6

a b c (Å): 5.642 5.642 5.642
angles (deg): 151.70 151.70 40.44
Element x y z (fractional)
Nb 0.000 0.000 0.000
N 0.419 0.419 0.000
F 0.644 0.644 0.000